*i*
NaIn2Ir2, relaxed, DFT PBE; space-group type = P4/mbm (127); magnetic moment = 0.00 μB/cell; DOS(E_F) = 2.97 states/eV/cell
1.0
7.939 0.000 0.000
0.000 7.939 0.000
0.000 0.000 3.027
In Ir Na
4 4 2
Direct
0.647 0.147 0.000
0.853 0.647 0.000
0.147 0.353 0.000
0.353 0.853 0.000
0.149 0.649 0.500
0.851 0.351 0.500
0.351 0.149 0.500
0.649 0.851 0.500
0.500 0.500 0.000
0.000 0.000 0.000

=====

*ii*
NaIn2Ir2, relaxed, DFT PBE; space-group type = I4/mmm (139); magnetic moment = 0.00 μB/cell; DOS(E_F) = 2.58 states/eV/cell
1.0
-3.137 -0.089 -2.682
-1.706 -3.119 2.099
-5.553 2.482 3.236
In Ir Na
2 2 1
Direct
0.386 0.386 0.228
0.614 0.614 0.772
0.250 0.750 0.500
0.750 0.250 0.500
0.000 0.000 0.000

=====

Most stable structure among those shown: *i*.